(1)
First-principles (PBE-GGA) data for a geometry-optimized SmHf2Ti structure, as listed in Alexandria via LeMat-Bulk.

It has space group P4/mmm (No. 123), with a = 3.597 Å, b = 3.597 Å, c = 7.294 Å, α = 90.00°, β = 90.00° and γ = 90.00°. The inequivalent atoms are Sm at (0.000, 0.000, 0.000), Hf at (0.500, 0.500, 0.301) and Ti at (0.000, 0.000, 0.500).

The value obtained for the total moment is 0.001 Bohr magnetons per cell. Its density of states at the Fermi level is 5.77 states/eV/f.u. The energy of formation comes out at 0.189 eV/atom. The value obtained for the volume is 23.6 A^3/atom.



(2)
First-principles (PBE-GGA) data for a geometry-optimized SmHfTl2 structure, as listed in Alexandria via LeMat-Bulk.

It has space group P4/mmm (No. 123), with a = 3.374 Å, b = 3.374 Å, c = 8.830 Å, α = 90.00°, β = 90.00° and γ = 90.00°. The inequivalent atoms are Sm at (0.000, 0.000, 0.000), Hf at (0.000, 0.000, 0.500) and Tl at (0.500, 0.500, 0.265).

The value obtained for the total moment is 0.000 Bohr magnetons per cell. Its density of states at the Fermi level is 3.77 states/eV/f.u. The energy of formation comes out at -0.078 eV/atom. The value obtained for the volume is 25.1 A^3/atom.



(3)
First-principles (PBE-GGA) data for a geometry-optimized Sm2HfTl structure, as listed in Alexandria via LeMat-Bulk.

It has space group P4/mmm (No. 123), with a = 3.421 Å, b = 3.421 Å, c = 9.612 Å, α = 90.00°, β = 90.00° and γ = 90.00°. The inequivalent atoms are Sm at (0.000, 0.000, 0.248), Hf at (0.500, 0.500, 0.000) and Tl at (0.500, 0.500, 0.500).

The value obtained for the total moment is 0.000 Bohr magnetons per cell. Its density of states at the Fermi level is 4.13 states/eV/f.u. The energy of formation comes out at -0.052 eV/atom. The value obtained for the volume is 28.1 A^3/atom.



(4)
First-principles (PBE-GGA) data for a geometry-optimized Sm12HfTl3 structure, as listed in Alexandria via LeMat-Bulk.

It has space group P4/mmm (No. 123), with a = 4.922 Å, b = 4.922 Å, c = 19.988 Å, α = 90.00°, β = 90.00° and γ = 90.00°. The inequivalent atoms are Sm at (0.000, 0.000, 0.000), Sm at (0.000, 0.000, 0.250), Sm at (0.000, 0.000, 0.500), Sm at (0.000, 0.500, 0.122), Sm at (0.000, 0.500, 0.375), Hf at (0.500, 0.500, 0.000), Tl at (0.500, 0.500, 0.254) and Tl at (0.500, 0.500, 0.500).

The value obtained for the total moment is 0.000 Bohr magnetons per cell. Its density of states at the Fermi level is 21.78 states/eV/f.u. The energy of formation comes out at -0.108 eV/atom. The value obtained for the volume is 30.3 A^3/atom.



(5)
First-principles (PBE-GGA) data for a geometry-optimized Sm2HfTl structure, as listed in Alexandria via LeMat-Bulk.

It has space group P4/mmm (No. 123), with a = 4.749 Å, b = 4.749 Å, c = 4.780 Å, α = 90.00°, β = 90.00° and γ = 90.00°. The inequivalent atoms are Sm at (0.000, 0.500, 0.000), Hf at (0.000, 0.000, 0.500) and Tl at (0.500, 0.500, 0.500).

The value obtained for the total moment is 0.000 Bohr magnetons per cell. Its density of states at the Fermi level is 4.57 states/eV/f.u. The energy of formation comes out at -0.011 eV/atom. The value obtained for the volume is 26.9 A^3/atom.



(6)
First-principles (PBE-GGA) data for a geometry-optimized Sm2HfTl structure, as listed in Alexandria via LeMat-Bulk.

It has space group R-3m (No. 166, hexagonal axes), with a = 3.3278 Å, b = 3.3278 Å, c = 35.8686 Å, α = 90.00°, β = 90.00° and γ = 120.00°. The inequivalent atoms are Sm at (0.0000, 0.0000, 0.0882), Hf at (0.0000, 0.0000, 0.0000) and Tl at (0.0000, 0.0000, 0.5000).

The value obtained for the total moment is 1.319 Bohr magnetons per cell. Its density of states at the Fermi level is 5.83 states/eV/f.u. The energy of formation comes out at 0.311 eV/atom. The value obtained for the volume is 28.7 A^3/atom.



(7)
First-principles (PBE-GGA) data for a geometry-optimized SmHfTl2 structure, as listed in Alexandria via LeMat-Bulk.

It has space group Fm-3m (No. 225), with a = 7.427 Å, b = 7.427 Å, c = 7.427 Å, α = 90.00°, β = 90.00° and γ = 90.00°. The inequivalent atoms are Sm at (0.000, 0.000, 0.000), Hf at (0.000, 0.000, 0.500) and Tl at (0.250, 0.250, 0.250).

The value obtained for the total moment is 1.403 Bohr magnetons per cell. Its density of states at the Fermi level is 4.56 states/eV/f.u. The energy of formation comes out at 0.002 eV/atom. The value obtained for the volume is 25.6 A^3/atom.



(8)
First-principles (PBE-GGA) data for a geometry-optimized SmHfTl structure, as listed in Alexandria via LeMat-Bulk.

It has space group I4/mmm (No. 139), with a = 3.481 Å, b = 3.481 Å, c = 27.225 Å, α = 90.00°, β = 90.00° and γ = 90.00°. The inequivalent atoms are Sm at (0.000, 0.000, 0.067), Hf at (0.000, 0.000, 0.216) and Tl at (0.000, 0.000, 0.357).

The value obtained for the total moment is 0.002 Bohr magnetons per cell. Its density of states at the Fermi level is 2.81 states/eV/f.u. The energy of formation comes out at 0.002 eV/atom. The value obtained for the volume is 27.5 A^3/atom.



(9)
First-principles (PBE-GGA) data for a geometry-optimized SmTmHf2 structure, as listed in Alexandria via LeMat-Bulk.

It has space group P4/mmm (No. 123), with a = 4.677 Å, b = 4.677 Å, c = 4.769 Å, α = 90.00°, β = 90.00° and γ = 90.00°. The inequivalent atoms are Sm at (0.000, 0.000, 0.000), Tm at (0.500, 0.500, 0.000) and Hf at (0.000, 0.500, 0.500).

The value obtained for the total moment is 0.000 Bohr magnetons per cell. Its density of states at the Fermi level is 4.45 states/eV/f.u. The energy of formation comes out at 0.203 eV/atom. The value obtained for the volume is 26.1 A^3/atom.



(10)
First-principles (PBE-GGA) data for a geometry-optimized SmTmHf2 structure, as listed in Alexandria via LeMat-Bulk.

It has space group R-3m (No. 166, hexagonal axes), with a = 3.3137 Å, b = 3.3137 Å, c = 32.8485 Å, α = 90.00°, β = 90.00° and γ = 120.00°. The inequivalent atoms are Sm at (0.0000, 0.0000, 0.0000), Tm at (0.0000, 0.0000, 0.5000) and Hf at (0.0000, 0.0000, 0.2488).

The value obtained for the total moment is 0.000 Bohr magnetons per cell. Its density of states at the Fermi level is 5.60 states/eV/f.u. The energy of formation comes out at 0.209 eV/atom. The value obtained for the volume is 26.0 A^3/atom.



(11)
First-principles (PBE-GGA) data for a geometry-optimized SmYHf structure, as listed in Alexandria via LeMat-Bulk.

It has space group P4/nmm (No. 129, origin choice 2), with a = 3.749 Å, b = 3.749 Å, c = 12.773 Å, α = 90.00°, β = 90.00° and γ = 90.00°. The inequivalent atoms are Sm at (0.250, 0.250, 0.094), Y at (0.250, 0.250, 0.704) and Hf at (0.250, 0.250, 0.449).

The value obtained for the total moment is 0.000 Bohr magnetons per cell. Its density of states at the Fermi level is 4.26 states/eV/f.u. The energy of formation comes out at 0.121 eV/atom. The value obtained for the volume is 29.9 A^3/atom.



(12)
First-principles (PBE-GGA) data for a geometry-optimized Sm2YHf structure, as listed in Alexandria via LeMat-Bulk.

It has space group R-3m (No. 166, hexagonal axes), with a = 3.4611 Å, b = 3.4611 Å, c = 34.3382 Å, α = 90.00°, β = 90.00° and γ = 120.00°. The inequivalent atoms are Sm at (0.0000, 0.0000, 0.2442), Y at (0.0000, 0.0000, 0.0000) and Hf at (0.0000, 0.0000, 0.5000).

The value obtained for the total moment is 0.000 Bohr magnetons per cell. Its density of states at the Fermi level is 5.48 states/eV/f.u. The energy of formation comes out at 0.152 eV/atom. The value obtained for the volume is 29.7 A^3/atom.



(13)
First-principles (PBE-GGA) data for a geometry-optimized SmYHf structure, as listed in Alexandria via LeMat-Bulk.

It has space group I4mm (No. 107), with a = 3.381 Å, b = 3.381 Å, c = 15.101 Å, α = 90.00°, β = 90.00° and γ = 90.00°. The inequivalent atoms are Sm at (0.000, 0.000, 0.000), Y at (0.000, 0.000, 0.692) and Hf at (0.000, 0.000, 0.344).

The value obtained for the total moment is 0.000 Bohr magnetons per cell. Its density of states at the Fermi level is 4.46 states/eV/f.u. The energy of formation comes out at 0.141 eV/atom. The value obtained for the volume is 28.8 A^3/atom.



(14)
First-principles (PBE-GGA) data for a geometry-optimized Sm2YHf structure, as listed in Alexandria via LeMat-Bulk.

It has space group P4/mmm (No. 123), with a = 4.926 Å, b = 4.926 Å, c = 4.865 Å, α = 90.00°, β = 90.00° and γ = 90.00°. The inequivalent atoms are Sm at (0.000, 0.500, 0.000), Y at (0.000, 0.000, 0.500) and Hf at (0.500, 0.500, 0.500).

The value obtained for the total moment is 0.000 Bohr magnetons per cell. Its density of states at the Fermi level is 5.03 states/eV/f.u. The energy of formation comes out at 0.167 eV/atom. The value obtained for the volume is 29.5 A^3/atom.



(15)
First-principles (PBE-GGA) data for a geometry-optimized Sm2YHf structure, as listed in Alexandria via LeMat-Bulk.

It has space group R3m (No. 160, hexagonal axes), with a = 3.4747 Å, b = 3.4747 Å, c = 34.1043 Å, α = 90.00°, β = 90.00° and γ = 120.00°. The inequivalent atoms are Sm at (0.0000, 0.0000, 0.0000), Sm at (0.0000, 0.0000, 0.1778), Y at (0.0000, 0.0000, 0.4215) and Hf at (0.0000, 0.0000, 0.5890).

The value obtained for the total moment is 0.000 Bohr magnetons per cell. Its density of states at the Fermi level is 5.92 states/eV/f.u. The energy of formation comes out at 0.150 eV/atom. The value obtained for the volume is 29.7 A^3/atom.